# 1
CuIr2Au | PBE-GGA | optimized geometry

Structure (CIF):
```
data_CuIr2Au
_chemical_formula_sum 'Cu2 Ir4 Au2'
_space_group_name_H-M_alt 'I m m 2'
_space_group_IT_number 44
_cell_length_a 2.8158
_cell_length_b 4.6651
_cell_length_c 9.1952
_cell_angle_alpha 90.00
_cell_angle_beta 90.00
_cell_angle_gamma 90.00
loop_
_space_group_symop_operation_xyz
'x,y,z'
'-x,-y,z'
'-x,y,z'
'x,-y,z'
'x+1/2,y+1/2,z+1/2'
'-x+1/2,-y+1/2,z+1/2'
'-x+1/2,y+1/2,z+1/2'
'x+1/2,-y+1/2,z+1/2'
loop_
_atom_site_label
_atom_site_fract_x
_atom_site_fract_y
_atom_site_fract_z
_atom_site_occupancy
Cu1 0.0000 0.0000 0.0000 1
Ir1 0.0000 0.0000 0.4825 1
Ir2 0.0000 0.5000 0.7448 1
Au1 0.0000 0.5000 0.2493 1
```

Properties
For the energy above the lowest structure with this stoichiometry, the calculation gives 1.03 eV per formula unit. As for the final energy: -5.899 eV/atom. The density of states at the Fermi level is 5.10 states/eV/f.u. The value obtained for the magnetization is 0.00 μB per formula unit. The energy of formation is 36.1 kJ/mol of atoms. The volume is 121 Å³/cell.

***

# 2
MnSi2Ni | PBE-GGA | optimized geometry

Structure (CIF):
```
data_MnSi2Ni
_chemical_formula_sum 'Mn2 Si4 Ni2'
_space_group_name_H-M_alt 'I 4/m m m'
_space_group_IT_number 139
_space_group_name_Hall '-I 4 2'
_cell_length_a 3.6143
_cell_length_b 3.6143
_cell_length_c 6.9145
_cell_angle_alpha 90.00
_cell_angle_beta 90.00
_cell_angle_gamma 90.00
loop_
_atom_site_label
_atom_site_fract_x
_atom_site_fract_y
_atom_site_fract_z
_atom_site_occupancy
Mn1 0.0000 0.0000 0.0000 1
Si1 0.0000 0.5000 0.2500 1
Ni1 0.0000 0.0000 0.5000 1
```

Properties
As for the final energy: -6.723 eV/atom. As for the uncorrected formation energy: -106 kJ/mol of formula units. The density of states at the Fermi level is 1.22 states/eV/f.u. The value obtained for the magnetization is 0.87 μB per formula unit. The volume is 90 Å³/cell.

***

# 3
YCdBr3 | PBE-GGA | optimized geometry

Structure (CIF):
```
data_YCdBr3
_chemical_formula_sum 'Y1 Cd1 Br3'
_space_group_name_H-M_alt 'P m -3 m'
_space_group_IT_number 221
_space_group_name_Hall '-P 4 2 3'
_cell_length_a 5.6358
_cell_length_b 5.6358
_cell_length_c 5.6358
_cell_angle_alpha 90.00
_cell_angle_beta 90.00
_cell_angle_gamma 90.00
loop_
_atom_site_label
_atom_site_fract_x
_atom_site_fract_y
_atom_site_fract_z
_atom_site_occupancy
Y1 0.0000 0.0000 0.0000 1
Cd1 0.5000 0.5000 0.5000 1
Br1 0.0000 0.0000 0.5000 1
```

Properties
For the energy above the lowest structure with this stoichiometry, the calculation gives 0.00 eV per formula unit. As for the final energy: -3.732 eV/atom. As for the uncorrected formation energy: -604 kJ/mol of formula units. The density of states at the Fermi level is 0.00 states/eV/f.u. The value obtained for the magnetization is 0.00 μB per formula unit. The volume is 179 Å³/cell.